one | {
  "formula": "Ba5Ca4",
  "functional": "PBEsol",
  "state": "relaxed",
  "cell": [[-6.809, 6.809, 2.406], [6.809, -6.809, 2.406], [6.809, 6.809, -2.406]],
  "species": ["Ba", "Ba", "Ba", "Ba", "Ba", "Ca", "Ca", "Ca", "Ca"],
  "fractional_positions": [[0.000, 0.000, 0.000], [0.333, 0.333, 0.667], [0.333, 0.667, 0.000], [0.667, 0.333, 0.000], [0.667, 0.667, 0.333], [0.000, 0.343, 0.343], [0.000, 0.657, 0.657], [0.343, 0.000, 0.343], [0.657, 0.000, 0.657]],
  "sg": "I4/mmm (139)",
  "n_ef_per_ev_cell": 11.53
}

***

two | {
  "formula": "Ba5Ca4",
  "functional": "PBEsol",
  "state": "relaxed",
  "cell": [[11.445, 0.000, 0.000], [-5.723, 9.912, 0.000], [0.000, 0.000, 7.904]],
  "species": ["Ba", "Ba", "Ba", "Ba", "Ba", "Ba", "Ba", "Ba", "Ba", "Ba", "Ca", "Ca", "Ca", "Ca", "Ca", "Ca", "Ca", "Ca"],
  "fractional_positions": [[0.000, 0.347, 0.250], [0.000, 0.653, 0.750], [0.333, 0.667, 0.000], [0.333, 0.667, 0.500], [0.347, 0.000, 0.250], [0.347, 0.347, 0.750], [0.653, 0.000, 0.750], [0.653, 0.653, 0.250], [0.667, 0.333, 0.000], [0.667, 0.333, 0.500], [0.000, 0.000, 0.000], [0.000, 0.000, 0.500], [0.000, 0.313, 0.750], [0.000, 0.687, 0.250], [0.313, 0.000, 0.750], [0.313, 0.313, 0.250], [0.687, 0.000, 0.250], [0.687, 0.687, 0.750]],
  "sg": "P6_3/mcm (193)",
  "n_ef_per_ev_cell": 29.09
}

***

If you had to bet on the most stable structure above, which would it be? Bet on one.